Density functional theory data (PBE-GGA) for a relaxed structure of Dy3In5.

Cell: 6.385 6.385 10.383 Å, 90.00 90.00 78.50°
Sites, in units of the cell vectors:
Dy: 0.117 0.883 0.750
Dy: 0.295 0.295 0.000
Dy: 0.295 0.295 0.500
Dy: 0.705 0.705 0.000
Dy: 0.705 0.705 0.500
Dy: 0.883 0.117 0.250
In: 0.007 0.429 0.750
In: 0.194 0.806 0.044
In: 0.194 0.806 0.456
In: 0.429 0.007 0.250
In: 0.497 0.503 0.250
In: 0.503 0.497 0.750
In: 0.571 0.993 0.750
In: 0.806 0.194 0.544
In: 0.806 0.194 0.956
In: 0.993 0.571 0.250

Output
SG: Cmcm (63)
ΔE_f in eV/f.u.: -3.68
ΔE to the lowest computed polymorph in meV/atom: 0
ρ in g/cm³: 8.500


Density functional theory data (PBE-GGA) for a relaxed structure of Dy8In3.

Cell: 7.147 7.147 7.147 Å, 88.47 88.47 88.47°
Sites, in units of the cell vectors:
Dy: 0.147 0.147 0.147
Dy: 0.185 0.622 0.354
Dy: 0.354 0.185 0.622
Dy: 0.378 0.646 0.815
Dy: 0.622 0.354 0.185
Dy: 0.646 0.815 0.378
Dy: 0.815 0.378 0.646
Dy: 0.853 0.853 0.853
In: 0.000 0.000 0.500
In: 0.000 0.500 0.000
In: 0.500 0.000 0.000

Output
SG: R-3 (148)
ΔE_f in eV/f.u.: 0.92
ρ in g/cm³: 7.489


Density functional theory data (PBE-GGA) for a relaxed structure of Dy5In3.

Cell: 6.693 6.693 5.066 Å, 90.00 90.00 99.86°
Sites, in units of the cell vectors:
Dy: 0.000 0.000 0.000
Dy: 0.000 0.500 0.000
Dy: 0.280 0.280 0.500
Dy: 0.500 0.000 0.000
Dy: 0.720 0.720 0.500
In: 0.219 0.781 0.500
In: 0.500 0.500 0.000
In: 0.781 0.219 0.500

Output
SG: Cmmm (65)
ΔE_f in eV/f.u.: -2.65
ΔE to the lowest computed polymorph in meV/atom: 61
ρ in g/cm³: 8.594


Density functional theory data (PBE-GGA) for a relaxed structure of Dy5In6.

Cell: 9.075 9.075 9.075 Å, 146.34 132.18 59.74°
Sites, in units of the cell vectors:
Dy: 0.000 0.000 0.000
Dy: 0.159 0.659 0.500
Dy: 0.321 0.321 0.000
Dy: 0.679 0.679 0.000
Dy: 0.841 0.341 0.500
In: 0.117 0.845 0.272
In: 0.289 0.500 0.789
In: 0.427 0.155 0.272
In: 0.573 0.845 0.728
In: 0.711 0.500 0.211
In: 0.883 0.155 0.728

Output
SG: Immm (71)
ΔE_f in eV/f.u.: -4.21
ρ in g/cm³: 8.197


Density functional theory data (PBE-GGA) for a relaxed structure of Dy2In3.

Cell: 6.636 8.210 9.701 Å, 90.00 90.00 90.00°
Sites, in units of the cell vectors:
Dy: 0.124 0.183 0.087
Dy: 0.124 0.817 0.587
Dy: 0.376 0.317 0.587
Dy: 0.376 0.683 0.087
Dy: 0.624 0.317 0.913
Dy: 0.624 0.683 0.413
Dy: 0.876 0.183 0.413
Dy: 0.876 0.817 0.913
In: 0.000 0.150 0.750
In: 0.000 0.850 0.250
In: 0.136 0.478 0.870
In: 0.136 0.522 0.370
In: 0.364 0.022 0.370
In: 0.364 0.978 0.870
In: 0.500 0.350 0.250
In: 0.500 0.650 0.750
In: 0.636 0.022 0.130
In: 0.636 0.978 0.630
In: 0.864 0.478 0.630
In: 0.864 0.522 0.130

Output
SG: Pbcn (60)
ΔE_f in eV/f.u.: -1.91
ΔE to the lowest computed polymorph in meV/atom: 0
ρ in g/cm³: 8.414


Density functional theory data (PBE-GGA) for a relaxed structure of Dy3In2.

Cell: 12.885 3.745 12.443 Å, 90.00 90.00 90.00°
Sites, in units of the cell vectors:
Dy: 0.036 0.250 0.122
Dy: 0.127 0.750 0.534
Dy: 0.238 0.250 0.764
Dy: 0.262 0.750 0.264
Dy: 0.373 0.250 0.034
Dy: 0.464 0.750 0.622
Dy: 0.536 0.250 0.378
Dy: 0.627 0.750 0.966
Dy: 0.738 0.250 0.736
Dy: 0.762 0.750 0.236
Dy: 0.873 0.250 0.466
Dy: 0.964 0.750 0.878
In: 0.005 0.750 0.317
In: 0.184 0.750 0.987
In: 0.316 0.250 0.487
In: 0.495 0.250 0.817
In: 0.505 0.750 0.183
In: 0.684 0.750 0.513
In: 0.816 0.250 0.013
In: 0.995 0.250 0.683

Output
SG: Pnma (62)
ΔE_f in eV/f.u.: -1.33
ρ in g/cm³: 7.933


Density functional theory data (PBE-GGA) for a relaxed structure of DyIn5.

Cell: 7.644 7.644 4.586 Å, 90.00 90.00 144.81°
Sites, in units of the cell vectors:
Dy: 0.000 0.000 0.000
In: 0.168 0.832 0.500
In: 0.336 0.664 0.000
In: 0.500 0.500 0.500
In: 0.664 0.336 0.000
In: 0.832 0.168 0.500

Output
SG: Cmmm (65)
ΔE_f in eV/f.u.: -1.17
ΔE to the lowest computed polymorph in meV/atom: 0
ρ in g/cm³: 7.921


Density functional theory data (PBE-GGA) for a relaxed structure of Dy8In.

Cell: 7.863 7.863 7.863 Å, 95.55 95.55 143.77°
Sites, in units of the cell vectors:
Dy: 0.000 0.335 0.335
Dy: 0.000 0.665 0.665
Dy: 0.335 0.000 0.335
Dy: 0.338 0.338 0.677
Dy: 0.338 0.662 0.000
Dy: 0.662 0.338 0.000
Dy: 0.662 0.662 0.323
Dy: 0.665 0.000 0.665
In: 0.000 0.000 0.000

Output
SG: I4/mmm (139)
ΔE_f in eV/f.u.: -0.67
ρ in g/cm³: 8.604


Density functional theory data (PBE-GGA) for a relaxed structure of Dy3In5.

Cell: 6.594 6.594 4.760 Å, 90.00 90.00 91.86°
Sites, in units of the cell vectors:
Dy: 0.000 0.000 0.000
Dy: 0.274 0.726 0.500
Dy: 0.726 0.274 0.500
In: 0.000 0.500 0.000
In: 0.232 0.232 0.500
In: 0.500 0.000 0.000
In: 0.500 0.500 0.000
In: 0.768 0.768 0.500

Output
SG: Cmmm (65)
ΔE_f in eV/f.u.: -3.43
ΔE to the lowest computed polymorph in meV/atom: 32
ρ in g/cm³: 8.523


Density functional theory data (PBE-GGA) for a relaxed structure of Dy7In5.

Cell: 6.469 6.469 11.890 Å, 108.17 108.17 46.34°
Sites, in units of the cell vectors:
Dy: 0.000 0.000 0.000
Dy: 0.133 0.133 0.776
Dy: 0.152 0.152 0.501
Dy: 0.427 0.427 0.742
Dy: 0.573 0.573 0.258
Dy: 0.848 0.848 0.499
Dy: 0.867 0.867 0.224
In: 0.237 0.237 0.277
In: 0.333 0.333 0.035
In: 0.500 0.500 0.500
In: 0.667 0.667 0.965
In: 0.763 0.763 0.723

Output
SG: C2/m (12)
ΔE_f in eV/f.u.: -3.69
ρ in g/cm³: 8.392


Density functional theory data (PBE-GGA) for a relaxed structure of Dy7In3.

Cell: 8.940 8.940 6.768 Å, 107.07 107.07 33.80°
Sites, in units of the cell vectors:
Dy: 0.000 0.000 0.000
Dy: 0.199 0.199 0.673
Dy: 0.374 0.374 0.102
Dy: 0.410 0.410 0.637
Dy: 0.590 0.590 0.363
Dy: 0.626 0.626 0.898
Dy: 0.801 0.801 0.327
In: 0.000 0.000 0.500
In: 0.194 0.194 0.191
In: 0.806 0.806 0.809

Output
SG: C2/m (12)
ΔE_f in eV/f.u.: -3.09
ρ in g/cm³: 8.593


Density functional theory data (PBE-GGA) for a relaxed structure of Dy5In3.

Cell: 9.183 9.183 9.183 Å, 96.10 96.10 141.96°
Sites, in units of the cell vectors:
Dy: 0.083 0.780 0.863
Dy: 0.220 0.083 0.303
Dy: 0.250 0.750 0.500
Dy: 0.280 0.583 0.863
Dy: 0.417 0.280 0.697
Dy: 0.583 0.720 0.303
Dy: 0.720 0.417 0.137
Dy: 0.750 0.250 0.500
Dy: 0.780 0.917 0.697
Dy: 0.917 0.220 0.137
In: 0.162 0.338 0.500
In: 0.250 0.250 0.000
In: 0.338 0.838 0.176
In: 0.662 0.162 0.824
In: 0.750 0.750 0.000
In: 0.838 0.662 0.500

Output
SG: I4/mcm (140)
ΔE_f in eV/f.u.: -3.14
ΔE to the lowest computed polymorph in meV/atom: 0
ρ in g/cm³: 8.517